Compound: CaCo
Source: the Alexandria database
Functional: PBE
Structure: relaxed

Uncorrected energy ... -4.29 eV per atom
Total magnetization ... 3.8 Bohr magnetons per cell
Space group ... Cm (8)

Unit cell a=6.2423 b=6.2423 c=6.8184 alpha=68.20 beta=68.20 gamma=33.52
Fractional positions:
Ca: 0.9166 0.9166 0.0719
Ca: 0.6644 0.6644 0.6832
Ca: 0.6246 0.6246 0.2325
Co: 0.3683 0.3683 0.4417
Co: 0.9269 0.9269 0.5932
Co: 0.3325 0.3325 0.8108


Compound: Nd2HoCd8
Source: the Alexandria database
Functional: PBE
Structure: relaxed

Uncorrected energy ... -2.19 eV per atom
Total magnetization ... 0.0 Bohr magnetons per cell
Space group ... C2/m (12)

Unit cell a=5.3475 b=6.4893 c=9.0505 alpha=111.04 beta=107.21 gamma=89.92
Fractional positions:
Nd: 0.6910 0.6910 0.3820
Nd: 0.3090 0.3090 0.6180
Ho: 0.5000 0.0000 0.0000
Cd: 0.1226 0.3510 0.2490
Cd: 0.8736 0.1020 0.7510
Cd: 0.7474 0.5067 0.0000
Cd: 0.6972 0.1972 0.3943
Cd: 0.3028 0.8028 0.6057
Cd: 0.2526 0.4933 0.0000
Cd: 0.1264 0.8980 0.2490
Cd: 0.8774 0.6490 0.7510


Compound: AcPrTm4
Source: the Alexandria database
Functional: PBE
Structure: relaxed

Uncorrected energy ... -4.20 eV per atom
Total magnetization ... 5.7 Bohr magnetons per cell
Space group ... F-43m (216)

Unit cell a=6.7386 b=6.7386 c=6.7386 alpha=60.00 beta=60.00 gamma=60.00
Fractional positions:
Pr: 0.0000 0.0000 0.0000
Ac: 0.2500 0.2500 0.2500
Tm: 0.6253 0.6253 0.1242
Tm: 0.6253 0.1242 0.6253
Tm: 0.6253 0.6253 0.6253
Tm: 0.1242 0.6253 0.6253